# LaSn

LaSn after structural relaxation (GGA-PBE, the Alexandria database).

```
4
Lattice="5.6639 0.0000 0.0000 -2.8319 4.9051 0.0000 0.0000 0.0000 6.4171" Properties=species:S:1:pos:R:3 pbc="T T T"
La 2.8319 1.6350 1.6043
La 0.0000 3.2700 4.8128
Sn 0.0000 3.2700 1.6043
Sn 2.8319 1.6350 4.8128
```

Calculated values
* total DFT energy (no corrections): -4.68 eV/atom
* DFT formation energy: -0.21 eV per atom